Record 1
DyThBi | GGA-PBE | relaxed

Cell lengths 4.324, 4.324, 10.258 Å; angles 90.00, 90.00, 90.00 degrees
Fractional positions:
Dy: 0.250 0.250 0.210
Dy: 0.750 0.750 0.790
Th: 0.250 0.250 0.572
Th: 0.750 0.750 0.428
Bi: 0.250 0.250 0.891
Bi: 0.750 0.750 0.109

D(E_F) ... 1.1090 states/eV per atom
Formation energy from the elements ... -80 kJ/mol of formula units


Record 2
CrSiIr | GGA-PBE | relaxed

Cell lengths 4.111, 4.111, 2.732 Å; angles 90.00, 90.00, 120.00 degrees
Fractional positions:
Cr: 0.000 0.000 0.000
Si: 0.333 0.667 0.500
Ir: 0.667 0.333 0.500

D(E_F) ... 0.8194 states/eV per atom
ΔE_f (raw) ... -319 meV/atom


Record 3
LaTh6 | GGA-PBE | relaxed

Cell lengths 6.680, 6.680, 10.945 Å; angles 90.00, 90.00, 90.00 degrees
Fractional positions:
La: 0.250 0.750 0.000
La: 0.750 0.250 0.000
Th: 0.071 0.571 0.358
Th: 0.071 0.929 0.642
Th: 0.250 0.250 0.149
Th: 0.250 0.250 0.851
Th: 0.429 0.571 0.642
Th: 0.429 0.929 0.358
Th: 0.571 0.071 0.642
Th: 0.571 0.429 0.358
Th: 0.750 0.750 0.149
Th: 0.750 0.750 0.851
Th: 0.929 0.071 0.358
Th: 0.929 0.429 0.642

D(E_F) ... 1.6082 states/eV per atom
Formation energy from the elements ... 240 kJ/mol of formula units
Excess energy over the best structure of this formula in the dataset ... 0.00 eV per formula unit


Record 4
CeNpMn | GGA-PBE | relaxed

Cell lengths 5.594, 5.594, 5.594 Å; angles 144.57, 144.57, 50.98 degrees
Fractional positions:
Ce: 0.000 0.000 0.000
Np: 0.680 0.680 0.000
Mn: 0.305 0.305 0.000

D(E_F) ... 2.2429 states/eV per atom
Formation energy from the elements ... 63 kJ/mol of formula units


Record 5
ZnIn3Pb | GGA-PBE | relaxed

Cell lengths 5.269, 5.269, 5.269 Å; angles 90.00, 90.00, 90.00 degrees
Fractional positions:
Zn: 0.000 0.000 0.000
In: 0.000 0.000 0.500
In: 0.000 0.500 0.000
In: 0.500 0.000 0.000
Pb: 0.500 0.500 0.500

D(E_F) ... 0.8702 states/eV per atom
Formation energy from the elements ... 116 kJ/mol of formula units
Excess energy over the best structure of this formula in the dataset ... 0.00 eV per formula unit


Record 6
Pm3CoCl3 | GGA-PBE | relaxed

Cell lengths 9.965, 9.965, 9.965 Å; angles 109.47, 109.47, 109.47 degrees
Fractional positions:
Pm: 0.014 0.027 0.264
Pm: 0.014 0.486 0.750
Pm: 0.027 0.264 0.014
Pm: 0.236 0.264 0.750
Pm: 0.236 0.473 0.486
Pm: 0.264 0.014 0.027
Pm: 0.264 0.750 0.236
Pm: 0.473 0.486 0.236
Pm: 0.486 0.236 0.473
Pm: 0.486 0.750 0.014
Pm: 0.750 0.014 0.486
Pm: 0.750 0.236 0.264
Co: 0.000 0.250 0.500
Co: 0.250 0.250 0.250
Co: 0.250 0.500 0.000
Co: 0.500 0.000 0.250
Cl: 0.250 0.753 0.747
Cl: 0.250 0.997 0.503
Cl: 0.503 0.250 0.997
Cl: 0.503 0.753 0.506
Cl: 0.506 0.503 0.753
Cl: 0.747 0.250 0.753
Cl: 0.747 0.997 0.994
Cl: 0.753 0.506 0.503
Cl: 0.753 0.747 0.250
Cl: 0.994 0.747 0.997
Cl: 0.997 0.503 0.250
Cl: 0.997 0.994 0.747

D(E_F) ... 0.4269 states/eV per atom
ΔE_f (raw) ... -1396 meV/atom